1.
# BiAuO3 (PBE, optimized geometry)
# energy: -22.18 eV for the cell shown
# uncorrected formation energy: -0.03 eV per atom
data_BiAuO3
_chemical_formula_sum 'Bi1 Au1 O3'
_symmetry_space_group_name_H-M 'P m -3 m'
_symmetry_Int_Tables_number 221
_symmetry_space_group_name_Hall '-P 4 2 3'
_cell_length_a 4.196
_cell_length_b 4.196
_cell_length_c 4.196
_cell_angle_alpha 90.00
_cell_angle_beta 90.00
_cell_angle_gamma 90.00
loop_
_atom_site_label
_atom_site_fract_x
_atom_site_fract_y
_atom_site_fract_z
Bi1 0.000 0.000 0.000
Au1 0.500 0.500 0.500
O1 0.000 0.000 0.500

2.
# BiAuO2 (PBE, optimized geometry)
# energy: -74.08 eV for the cell shown
# uncorrected formation energy: -0.36 eV per atom
data_BiAuO2
_chemical_formula_sum 'Bi4 Au4 O8'
_symmetry_space_group_name_H-M 'I -4 2 d'
_symmetry_Int_Tables_number 122
_symmetry_space_group_name_Hall 'I -4 2bw'
_cell_length_a 4.790
_cell_length_b 4.790
_cell_length_c 12.636
_cell_angle_alpha 90.00
_cell_angle_beta 90.00
_cell_angle_gamma 90.00
loop_
_atom_site_label
_atom_site_fract_x
_atom_site_fract_y
_atom_site_fract_z
Bi1 0.000 0.000 0.000
Au1 0.000 0.000 0.500
O1 0.237 0.250 0.125

3.
# BiAuO3 (PBE, optimized geometry)
# energy: -99.94 eV for the cell shown
# uncorrected formation energy: -0.59 eV per atom
data_BiAuO3
_chemical_formula_sum 'Bi4 Au4 O12'
_symmetry_space_group_name_H-M 'P 1 21/c 1'
_symmetry_Int_Tables_number 14
_symmetry_space_group_name_Hall '-P 2ybc'
_cell_length_a 6.896
_cell_length_b 5.687
_cell_length_c 9.486
_cell_angle_alpha 90.00
_cell_angle_beta 111.14
_cell_angle_gamma 90.00
loop_
_atom_site_label
_atom_site_fract_x
_atom_site_fract_y
_atom_site_fract_z
Bi1 0.215 0.216 0.226
Au1 0.393 0.722 0.404
O1 0.115 0.637 0.779
O2 0.307 0.109 0.962
O3 0.495 0.000 0.670

4.
# BiAuO (PBE, optimized geometry)
# energy: -54.05 eV for the cell shown
# uncorrected formation energy: -0.47 eV per atom
# ΔE to the lowest computed polymorph: 0.0 meV/atom
data_BiAuO
_chemical_formula_sum 'Bi4 Au4 O4'
_symmetry_space_group_name_H-M 'P n m a'
_symmetry_Int_Tables_number 62
_symmetry_space_group_name_Hall '-P 2ac 2n'
_cell_length_a 8.787
_cell_length_b 3.817
_cell_length_c 7.672
_cell_angle_alpha 90.00
_cell_angle_beta 90.00
_cell_angle_gamma 90.00
loop_
_atom_site_label
_atom_site_fract_x
_atom_site_fract_y
_atom_site_fract_z
Bi1 0.146 0.250 0.107
Au1 0.065 0.750 0.392
O1 0.103 0.750 0.939